A) Computed, not measured: a relaxed structure of NaTl3Sb3 at the PBE level of DFT.

Cell lengths 8.378, 8.378, 8.378 Å; angles 90.00, 90.00, 90.00 degrees
Space group Pm-3n (No. 223)
Asymmetric unit:
Na 0.000 0.000 0.000 [2 per cell]
Tl 0.000 0.250 0.500 [6 per cell]
Sb 0.000 0.500 0.250 [6 per cell]

Values from the calculation:
- M_tot: 0.0 μB/f.u.



B) Computed, not measured: a relaxed structure of NaTl3Sb3 at the PBE level of DFT.

Cell lengths 9.8067, 9.8067, 17.1179 Å; angles 90.00, 90.00, 120.00 degrees
Space group R-3 (No. 148, hexagonal axes)
Asymmetric unit:
Na 0.0000 0.0000 0.1162 [6 per cell]
Tl 0.0599 0.2270 0.7158 [18 per cell]
Sb 0.0212 0.2783 0.5370 [18 per cell]

Values from the calculation:
- M_tot: 0.0 μB/f.u.



Q: What are the energies relative to the best structure? A: A) 16.9; B) 0.0, in kJ/mol of atoms.



A) Computed, not measured: a relaxed structure of NaTl4Sb2 at the PBE level of DFT.

Cell lengths 6.485, 12.564, 5.706 Å; angles 90.00, 101.63, 90.00 degrees
Space group P2_1/c (No. 14)
Asymmetric unit:
Na 0.000 0.000 0.000 [2 per cell]
Tl 0.005 0.202 0.501 [4 per cell]
Tl 0.495 0.667 0.505 [4 per cell]
Sb 0.297 0.502 0.065 [4 per cell]

Values from the calculation:
- M_tot: 0.0 μB/f.u.



B) Computed, not measured: a relaxed structure of NaTl4Sb2 at the PBE level of DFT.

Cell lengths 7.804, 7.804, 7.465 Å; angles 90.00, 90.00, 90.00 degrees
Space group I4/mmm (No. 139)
Asymmetric unit:
Na 0.000 0.000 0.000 [2 per cell]
Tl 0.250 0.250 0.250 [8 per cell]
Sb 0.000 0.500 0.000 [4 per cell]

Values from the calculation:
- M_tot: 0.0 μB/f.u.



Q: What are the energies relative to the best structure? A: A) 0.0; B) 8.0, in kJ/mol of atoms.



A) Computed, not measured: a relaxed structure of Na4TlSb2 at the PBE level of DFT.

Cell lengths 5.866, 5.866, 12.956 Å; angles 90.00, 90.00, 90.00 degrees
Space group I4/mmm (No. 139)
Asymmetric unit:
Na 0.000 0.500 0.000 [4 per cell]
Na 0.000 0.500 0.250 [4 per cell]
Tl 0.000 0.000 0.000 [2 per cell]
Sb 0.000 0.000 0.385 [4 per cell]

Values from the calculation:
- M_tot: 0.0 μB/f.u.



B) Computed, not measured: a relaxed structure of Na4TlSb2 at the PBE level of DFT.

Cell lengths 5.814, 5.814, 15.178 Å; angles 90.00, 90.00, 90.00 degrees
Space group I4/mmm (No. 139)
Asymmetric unit:
Na 0.000 0.000 0.202 [4 per cell]
Na 0.000 0.500 0.000 [4 per cell]
Tl 0.000 0.000 0.000 [2 per cell]
Sb 0.000 0.000 0.404 [4 per cell]

Values from the calculation:
- M_tot: 0.0 μB/f.u.



Q: What are the energies relative to the best structure? A: A) 0.0; B) 15.4, in kJ/mol of atoms.



A) Computed, not measured: a relaxed structure of NaV2Sb2 at the PBE level of DFT.

Cell lengths 8.025, 8.025, 3.221 Å; angles 90.00, 90.00, 90.00 degrees
Space group P4/mbm (No. 127)
Asymmetric unit:
Na 0.000 0.000 0.000 [2 per cell]
V 0.103 0.397 0.500 [4 per cell]
Sb 0.172 0.672 0.000 [4 per cell]

Values from the calculation:
- M_tot: 0.0 μB/f.u.



B) Computed, not measured: a relaxed structure of NaV2Sb2 at the PBE level of DFT.

Cell lengths 7.923, 7.923, 3.232 Å; angles 90.00, 90.00, 90.00 degrees
Space group P4/mbm (No. 127)
Asymmetric unit:
Na 0.000 0.000 0.000 [2 per cell]
V 0.102 0.398 0.000 [4 per cell]
Sb 0.176 0.676 0.500 [4 per cell]

Values from the calculation:
- M_tot: 0.0 μB/f.u.



Q: What are the energies relative to the best structure? A: A) 3.8; B) 0.0, in kJ/mol of atoms.